# SCAN KSrFe, PBEsol geometry
data_KSrFe
_symmetry_space_group_name_H-M 'F -4 3 m'
_symmetry_Int_Tables_number 216
_symmetry_space_group_name_Hall 'F -4 2 3'
_cell_length_a 7.738
_cell_length_b 7.738
_cell_length_c 7.738
_cell_angle_alpha 90.00
_cell_angle_beta 90.00
_cell_angle_gamma 90.00
loop_
_atom_site_label
_atom_site_fract_x
_atom_site_fract_y
_atom_site_fract_z
_atom_site_occupancy
K1 0.000 0.000 0.000 1
Sr1 0.000 0.000 0.500 1
Fe1 0.250 0.250 0.250 1
# Density of states at the Fermi level ... 4.447 states/eV per cell
# Mass density ... 2.6 g cm⁻³
# Volume ... 38.6 A^3/atom
# E ... -15.446 eV per atom
# Energy relative to the lowest polymorph listed for this composition ... 58 meV per atom

=====

# SCAN CaBi2B2O7, PBEsol geometry
data_CaBi2B2O7
_symmetry_space_group_name_H-M 'P n m a'
_symmetry_Int_Tables_number 62
_cell_length_a 8.831
_cell_length_b 12.404
_cell_length_c 5.446
_cell_angle_alpha 90.00
_cell_angle_beta 90.00
_cell_angle_gamma 90.00
loop_
_symmetry_equiv_pos_as_xyz
'x,y,z'
'-x,-y,-z'
'-x+1/2,-y,z+1/2'
'x+1/2,y,-z+1/2'
'x+1/2,-y+1/2,-z+1/2'
'-x+1/2,y+1/2,z+1/2'
'-x,y+1/2,-z'
'x,-y+1/2,z'
loop_
_atom_site_label
_atom_site_fract_x
_atom_site_fract_y
_atom_site_fract_z
_atom_site_occupancy
Ca1 0.167 0.250 0.047 1
Bi1 0.170 0.587 0.061 1
B1 0.016 0.117 0.511 1
O1 0.095 0.107 0.296 1
O2 0.101 0.119 0.729 1
O3 0.131 0.750 0.965 1
O4 0.138 0.621 0.467 1
# Density of states at the Fermi level ... 0.000 states/eV per cell
# Mass density ... 6.6 g cm⁻³
# Volume ... 12.4 A^3/atom
# E ... -20.986 eV per atom

=====

# SCAN LaYIn2, PBEsol geometry
data_LaYIn2
_symmetry_space_group_name_H-M 'P 4 m m'
_symmetry_Int_Tables_number 99
_cell_length_a 3.585
_cell_length_b 3.585
_cell_length_c 8.796
_cell_angle_alpha 90.00
_cell_angle_beta 90.00
_cell_angle_gamma 90.00
loop_
_symmetry_equiv_pos_as_xyz
'x,y,z'
'-y,x,z'
'-x,-y,z'
'y,-x,z'
'-x,y,z'
'y,x,z'
'x,-y,z'
'-y,-x,z'
loop_
_atom_site_label
_atom_site_fract_x
_atom_site_fract_y
_atom_site_fract_z
_atom_site_occupancy
La1 0.000 0.000 0.000 1
Y1 0.500 0.500 0.309 1
In1 0.000 0.000 0.542 1
In2 0.500 0.500 0.743 1
# Density of states at the Fermi level ... 3.126 states/eV per cell
# Mass density ... 6.7 g cm⁻³
# Volume ... 28.3 A^3/atom
# E ... -34.725 eV per atom

=====

Per-record spin magnetization, μB/cell: 12.21, 0.00, 0.00